# ZrInCuSe2S

Crystalline ZrInCuSe2S at its relaxed geometry (PBE, OQMD).

a = 3.8058 Å, b = 14.2953 Å, c = 9.8483 Å
α = 90.00°, β = 90.00°, γ = 90.00°
Space group Cmcm (No. 63)
Asymmetric unit:
Zr  0.0000  0.0000  0.0000 x4
In  0.0000  0.2603  0.2500 x4
Cu  0.0000  0.4676  0.7500 x4
Se  0.0000  0.3669  0.5505 x8
S  0.0000  0.0620  0.7500 x4

Magnetic moment in μB/atom: 0.00
Electronic total energy in eV/cell: -125.27
Calculated volume in Å³/cell: 536

# InCuSiTe2S

Crystalline InCuSiTe2S at its relaxed geometry (PBE, OQMD).

a = 3.9802 Å, b = 13.3679 Å, c = 10.5264 Å
α = 90.00°, β = 90.00°, γ = 90.00°
Space group Cmcm (No. 63)
Asymmetric unit:
In  0.0000  0.2204  0.2500 x4
Cu  0.0000  0.0397  0.7500 x4
Si  0.0000  0.5000  0.0000 x4
Te  0.0000  0.1414  0.5393 x8
S  0.0000  0.4583  0.7500 x4

Electronic total energy in eV/cell: -89.79
Calculated volume in Å³/cell: 560

# InCuSiTeS2

Crystalline InCuSiTeS2 at its relaxed geometry (PBE, OQMD).

a = 3.3344 Å, b = 14.8239 Å, c = 10.6213 Å
α = 90.00°, β = 90.00°, γ = 90.00°
Space group Cmcm (No. 63)
Asymmetric unit:
In  0.0000  0.2340  0.2500 x4
Cu  0.0000  0.1131  0.7500 x4
Si  0.0000  0.5000  0.0000 x4
Te  0.0000  0.4536  0.7500 x4
S  0.0000  0.1100  0.5349 x8

Electronic total energy in eV/cell: -96.81
Calculated volume in Å³/cell: 525

# InCu3SnS4

Crystalline InCu3SnS4 at its relaxed geometry (PBE, OQMD).

a = 5.8311 Å, b = 5.8311 Å, c = 5.8311 Å
α = 90.00°, β = 90.00°, γ = 90.00°
Space group P-43m (No. 215)
Asymmetric unit:
In  0.0000  0.0000  0.0000 x1
Cu  0.0000  0.5000  0.5000 x3
Sn  0.5000  0.5000  0.5000 x1
S  0.2466  0.2466  0.2466 x4

E above lowest polymorph in eV/atom: 0.072
Electronic total energy in eV/cell: -35.48
Calculated volume in Å³/cell: 198

# InCu3SnS4

Crystalline InCu3SnS4 at its relaxed geometry (PBE, OQMD).

a = 5.8678 Å, b = 7.3992 Å, c = 9.4846 Å
α = 90.00°, β = 106.53°, γ = 90.00°
Space group P2_1/m (No. 11)
Asymmetric unit:
In  0.1627  0.2500  0.4050 x2
Cu  0.3168  0.5725  0.0293 x4
Cu  0.4579  0.7500  0.2880 x2
Sn  0.1038  0.2500  0.7938 x2
S  0.0134  0.2500  0.0312 x2
S  0.2126  0.7500  0.4304 x2
S  0.3635  0.5091  0.7822 x4

E above lowest polymorph in eV/atom: 0.000
Electronic total energy in eV/cell: -72.25
Calculated volume in Å³/cell: 395

# InCuSnTeS2

Crystalline InCuSnTeS2 at its relaxed geometry (PBE, OQMD).

a = 3.9947 Å, b = 12.6024 Å, c = 11.4526 Å
α = 90.00°, β = 90.00°, γ = 90.00°
Space group Cmcm (No. 63)
Asymmetric unit:
In  0.0000  0.2273  0.2500 x4
Cu  0.0000  0.4317  0.7500 x4
Sn  0.0000  0.0000  0.0000 x4
Te  0.0000  0.0897  0.7500 x4
S  0.0000  0.3657  0.5684 x8

Electronic total energy in eV/cell: -92.54
Calculated volume in Å³/cell: 577

# TaInCuS3

Crystalline TaInCuS3 at its relaxed geometry (PBE, OQMD).

a = 3.4561 Å, b = 14.4625 Å, c = 9.4727 Å
α = 90.00°, β = 90.00°, γ = 90.00°
Space group Cmcm (No. 63)
Asymmetric unit:
Ta  0.0000  0.0000  0.0000 x4
In  0.0000  0.2592  0.2500 x4
Cu  0.0000  0.4556  0.7500 x4
S  0.0000  0.0632  0.7500 x4
S  0.0000  0.3773  0.5439 x8

Magnetic moment in μB/atom: 0.00
Electronic total energy in eV/cell: -136.80
Calculated volume in Å³/cell: 473

# Ta2In3Cu3S8

Crystalline Ta2In3Cu3S8 at its relaxed geometry (PBE, OQMD).

a = 19.5504 Å, b = 5.5635 Å, c = 7.3336 Å
α = 90.00°, β = 96.09°, γ = 90.00°
Space group C2 (No. 5)
Asymmetric unit:
Ta  0.1306  0.0000  0.1914 x4
In  0.0000  0.7445  0.5000 x2
In  0.1841  0.2198  0.7162 x4
Cu  0.0000  0.9989  0.0000 x2
Cu  0.1255  0.4999  0.1795 x4
S  0.0384  0.2328  0.2574 x4
S  0.0949  0.7697  0.9365 x4
S  0.1647  0.7428  0.4294 x4
S  0.2171  0.2522  0.1238 x4

Magnetic moment in μB/atom: 0.00
Electronic total energy in eV/cell: -171.07
Calculated volume in Å³/cell: 793

# TaInCuTeS2

Crystalline TaInCuTeS2 at its relaxed geometry (PBE, OQMD).

a = 3.5354 Å, b = 15.6499 Å, c = 10.0733 Å
α = 90.00°, β = 90.00°, γ = 90.00°
Space group Cmcm (No. 63)
Asymmetric unit:
Ta  0.0000  0.0000  0.0000 x4
In  0.0000  0.2197  0.2500 x4
Cu  0.0000  0.4648  0.7500 x4
Te  0.0000  0.0898  0.7500 x4
S  0.0000  0.3924  0.5558 x8

Magnetic moment in μB/atom: 0.00
Electronic total energy in eV/cell: -128.78
Calculated volume in Å³/cell: 557

# InCuTcTeS2

Crystalline InCuTcTeS2 at its relaxed geometry (PBE, OQMD).

a = 3.3367 Å, b = 15.7449 Å, c = 9.8073 Å
α = 90.00°, β = 90.00°, γ = 90.00°
Space group Cmcm (No. 63)
Asymmetric unit:
In  0.0000  0.2191  0.2500 x4
Cu  0.0000  0.4538  0.7500 x4
Tc  0.0000  0.0000  0.0000 x4
Te  0.0000  0.0851  0.7500 x4
S  0.0000  0.3906  0.5463 x8

Magnetic moment in μB/atom: 0.14
Electronic total energy in eV/cell: -116.30
Calculated volume in Å³/cell: 515

# InCuTcTe2S

Crystalline InCuTcTe2S at its relaxed geometry (PBE, OQMD).

a = 3.8072 Å, b = 14.7588 Å, c = 9.4385 Å
α = 90.00°, β = 90.00°, γ = 90.00°
Space group Cmcm (No. 63)
Asymmetric unit:
In  0.0000  0.2257  0.2500 x4
Cu  0.0000  0.0150  0.7500 x4
Tc  0.0000  0.5000  0.0000 x4
Te  0.0000  0.1332  0.5504 x8
S  0.0000  0.4331  0.7500 x4

Magnetic moment in μB/atom: 0.17
Electronic total energy in eV/cell: -110.70
Calculated volume in Å³/cell: 530

# InCuTeS

Crystalline InCuTeS at its relaxed geometry (PBE, OQMD).

a = 5.8992 Å, b = 5.9489 Å, c = 11.9161 Å
α = 90.00°, β = 90.00°, γ = 90.00°
Space group I2_12_12_1 (No. 24)
Asymmetric unit:
In  0.0000  0.2500  0.1344 x4
Cu  0.0000  0.2500  0.6501 x4
Te  0.2500  0.0450  0.5000 x4
S  0.2281  0.5000  0.7500 x4

E above lowest polymorph in eV/atom: 0.020
Electronic total energy in eV/cell: -60.32
Calculated volume in Å³/cell: 418

# InCuTeS

Crystalline InCuTeS at its relaxed geometry (PBE, OQMD).

a = 8.3748 Å, b = 8.3775 Å, c = 7.2572 Å
α = 90.00°, β = 125.17°, γ = 90.00°
Space group Cc (No. 9)
Asymmetric unit:
In  0.0000  0.1411  0.0000 x4
Cu  0.0430  0.4007  0.5006 x4
Te  0.1639  0.1422  0.7513 x4
S  0.1292  0.3902  0.2490 x4

E above lowest polymorph in eV/atom: 0.000
Electronic total energy in eV/cell: -60.64
Calculated volume in Å³/cell: 416

# InCu2Te2S

Crystalline InCu2Te2S at its relaxed geometry (PBE, OQMD).

a = 7.2546 Å, b = 12.5236 Å, c = 7.1849 Å
α = 90.00°, β = 109.60°, γ = 90.00°
Space group Cc (No. 9)
Asymmetric unit:
In  0.0000  0.1012  0.0000 x4
Cu  0.0298  0.2530  0.4527 x4
Cu  0.4796  0.0965  0.4881 x4
Te  0.3592  0.4000  0.0818 x4
Te  0.4087  0.0857  0.1123 x4
S  0.3640  0.2367  0.6153 x4

Electronic total energy in eV/cell: -88.15
Calculated volume in Å³/cell: 615

# In2Cu2Te3S

Crystalline In2Cu2Te3S at its relaxed geometry (PBE, OQMD).

a = 13.6328 Å, b = 6.0878 Å, c = 6.1115 Å
α = 90.00°, β = 116.42°, γ = 90.00°
Space group C2 (No. 5)
Asymmetric unit:
In  0.1199  0.0000  0.3858 x4
Cu  0.1136  0.5440  0.8376 x4
Te  0.0000  0.3019  0.0000 x2
Te  0.2493  0.2703  0.7889 x4
S  0.0000  0.7435  0.5000 x2

Electronic total energy in eV/cell: -57.90
Calculated volume in Å³/cell: 454

# ZrInCuTe2S

Crystalline ZrInCuTe2S at its relaxed geometry (PBE, OQMD).

a = 3.9311 Å, b = 15.0444 Å, c = 10.0850 Å
α = 90.00°, β = 90.00°, γ = 90.00°
Space group Cmcm (No. 63)
Asymmetric unit:
Zr  0.0000  0.0000  0.0000 x4
In  0.0000  0.2761  0.2500 x4
Cu  0.0000  0.4738  0.7500 x4
Te  0.0000  0.3600  0.5542 x8
S  0.0000  0.0577  0.7500 x4

Magnetic moment in μB/atom: 0.00
Electronic total energy in eV/cell: -117.52
Calculated volume in Å³/cell: 596

# TlInCu2S4

Crystalline TlInCu2S4 at its relaxed geometry (PBE, OQMD).

a = 5.6315 Å, b = 5.6315 Å, c = 11.1919 Å
α = 90.00°, β = 90.00°, γ = 90.00°
Space group I-4 (No. 82)
Asymmetric unit:
Tl  0.0000  0.0000  0.0000 x2
In  0.0000  0.5000  0.7500 x2
Cu  0.0000  0.0000  0.5000 x2
Cu  0.0000  0.5000  0.2500 x2
S  0.2117  0.7578  0.3717 x8

Electronic total energy in eV/cell: -63.79
Calculated volume in Å³/cell: 355

# InCu3WS4

Crystalline InCu3WS4 at its relaxed geometry (PBE, OQMD).

a = 5.7876 Å, b = 5.7876 Å, c = 5.7876 Å
α = 90.00°, β = 90.00°, γ = 90.00°
Space group P-43m (No. 215)
Asymmetric unit:
In  0.0000  0.0000  0.0000 x1
Cu  0.0000  0.5000  0.5000 x3
W  0.5000  0.5000  0.5000 x1
S  0.2712  0.2712  0.2712 x4

Magnetic moment in μB/atom: 0.18
Electronic total energy in eV/cell: -44.00
Calculated volume in Å³/cell: 194

# InCuWS3

Crystalline InCuWS3 at its relaxed geometry (PBE, OQMD).

a = 3.3861 Å, b = 14.2231 Å, c = 9.3135 Å
α = 90.00°, β = 90.00°, γ = 90.00°
Space group Cmcm (No. 63)
Asymmetric unit:
In  0.0000  0.2390  0.2500 x4
Cu  0.0000  0.0464  0.7500 x4
W  0.0000  0.5000  0.0000 x4
S  0.0000  0.1247  0.5395 x8
S  0.0000  0.4354  0.7500 x4

Magnetic moment in μB/atom: 0.01
Electronic total energy in eV/cell: -133.25
Calculated volume in Å³/cell: 449

# ZrInCu3S4

Crystalline ZrInCu3S4 at its relaxed geometry (PBE, OQMD).

a = 5.9556 Å, b = 5.9556 Å, c = 5.9556 Å
α = 90.00°, β = 90.00°, γ = 90.00°
Space group P-43m (No. 215)
Asymmetric unit:
Zr  0.0000  0.0000  0.0000 x1
In  0.5000  0.5000  0.5000 x1
Cu  0.0000  0.0000  0.5000 x3
S  0.2303  0.2303  0.7697 x4

Magnetic moment in μB/atom: 0.00
E above lowest polymorph in eV/atom: 0.083
Electronic total energy in eV/cell: -43.52
Calculated volume in Å³/cell: 211